# LiPdAu2

A relaxed structure of LiPdAu2 (PBE, OQMD via LeMat-Bulk). Values from VASP.

Computed properties:
volume	16.3	Å³ per atom
uncorrected energy	-3.750	eV per atom

Cell and atoms, written as Quantum ESPRESSO input:
```
&SYSTEM
  ibrav = 0, nat = 24, ntyp = 3
/
ATOMIC_SPECIES
Li 6.94 Li.upf
Au 196.97 Au.upf
Pd 106.42 Pd.upf
CELL_PARAMETERS angstrom
-2.2053 3.4386 1.9278
-4.5884 -4.0244 1.9294
6.7469 -2.1520 11.5564
ATOMIC_POSITIONS angstrom
Li 0.0000 0.0000 0.0000
Li 4.4963 -1.4330 7.7038
Li -0.0233 -1.3689 7.7068
Li -2.2722 -0.6527 3.8526
Li 2.2255 -2.0850 11.5610
Li 0.0454 2.7196 5.7804
Au -4.5217 0.0610 5.3003
Au -0.0466 -2.7330 10.1154
Au -2.2276 2.0731 4.3357
Au 4.4750 -2.7988 10.1133
Au -2.2490 0.7139 1.4459
Au 2.2477 -0.7207 9.1507
Au 2.1809 -4.8109 11.0779
Au 2.2256 -2.0827 6.2609
Au -0.0001 -0.0048 5.2982
Au -4.5447 -1.2996 2.4113
Au -0.0671 -4.0936 7.2249
Au -2.2944 -2.0171 6.2629
Pd 4.5189 -0.0731 10.5940
Pd -2.2942 -2.0122 0.9647
Pd 2.2037 -3.4462 8.6701
Pd 0.0227 1.3597 2.8902
Pd 2.2708 0.6433 6.7421
Pd -2.2504 0.7084 6.7435
```